No. 1
# Ca2Tb3Se6 | Alexandria via LeMat-Bulk | PBE | optimized geometry
# formation energy (no corrections)	-186.7	kJ per mole of atoms
# magnetization	0.00	μB/atom
# V	302.0	Å³/f.u.
# theoretical density	5.7	g/cm³
# VASP energy	-5.46	eV per atom
data_Ca2Tb3Se6
_chemical_formula_sum 'Ca4 Tb6 Se12'
_cell_length_a 7.132
_cell_length_b 12.343
_cell_length_c 7.257
_cell_angle_alpha 90.00
_cell_angle_beta 109.04
_cell_angle_gamma 90.00
_symmetry_space_group_name_H-M 'C 1 2/m 1'
_symmetry_Int_Tables_number 12
loop_
_symmetry_equiv_pos_as_xyz
'x,y,z'
'-x,-y,-z'
'-x,y,-z'
'x,-y,z'
'x+1/2,y+1/2,z'
'-x+1/2,-y+1/2,-z'
'-x+1/2,y+1/2,-z'
'x+1/2,-y+1/2,z'
loop_
_atom_site_label
_atom_site_type_symbol
_atom_site_fract_x
_atom_site_fract_y
_atom_site_fract_z
_atom_site_occupancy
Ca1 Ca 0.000 0.167 0.000 1
Tb1 Tb 0.000 0.000 0.500 1
Tb2 Tb 0.000 0.335 0.500 1
Se1 Se 0.246 0.168 0.741 1
Se2 Se 0.249 0.500 0.744 1

No. 2
# Sn3NF | Alexandria via LeMat-Bulk | PBE | optimized geometry
# formation energy (no corrections)	18.9	kJ per mole of atoms
# magnetization	0.00	μB/atom
# V	111.7	Å³/f.u.
# theoretical density	5.8	g/cm³
# VASP energy	-4.25	eV per atom
# energy above the most stable polymorph in this dataset	0.000	eV/atom
data_Sn3NF
_chemical_formula_sum 'Sn3 N1 F1'
_cell_length_a 4.816
_cell_length_b 4.816
_cell_length_c 4.816
_cell_angle_alpha 90.00
_cell_angle_beta 90.00
_cell_angle_gamma 90.00
_symmetry_space_group_name_H-M 'P m -3 m'
_symmetry_Int_Tables_number 221
_symmetry_space_group_name_Hall '-P 4 2 3'
loop_
_atom_site_label
_atom_site_type_symbol
_atom_site_fract_x
_atom_site_fract_y
_atom_site_fract_z
_atom_site_occupancy
Sn1 Sn 0.000 0.000 0.500 1
N1 N 0.000 0.000 0.000 1
F1 F 0.500 0.500 0.500 1

No. 3
# CaZnCl2 | Alexandria via LeMat-Bulk | PBE | optimized geometry
# formation energy (no corrections)	-130.9	kJ per mole of atoms
# magnetization	0.00	μB/atom
# V	126.1	Å³/f.u.
# theoretical density	2.3	g/cm³
# VASP energy	-3.10	eV per atom
# energy above the most stable polymorph in this dataset	0.181	eV/atom
data_CaZnCl2
_chemical_formula_sum 'Ca2 Zn2 Cl4'
_cell_length_a 3.951
_cell_length_b 6.603
_cell_length_c 9.669
_cell_angle_alpha 90.00
_cell_angle_beta 90.00
_cell_angle_gamma 90.00
_symmetry_space_group_name_H-M 'I m m m'
_symmetry_Int_Tables_number 71
_symmetry_space_group_name_Hall '-I 2 2'
loop_
_atom_site_label
_atom_site_type_symbol
_atom_site_fract_x
_atom_site_fract_y
_atom_site_fract_z
_atom_site_occupancy
Ca1 Ca 0.000 0.000 0.000 1
Zn1 Zn 0.000 0.000 0.500 1
Cl1 Cl 0.000 0.500 0.314 1